# 1
The following is a GGA-PBE calculation of a relaxed structure of NiIrPbAu2, from the Alexandria database.

Unit cell a=5.149 b=4.712 c=5.149 alpha=90.00 beta=90.00 gamma=90.00
Each line ends with the local moment (μB).
Fractional positions:
Pb  0.000  0.000  0.000  -0.01
Ni  0.000  0.500  0.000  0.08
Ir  0.500  0.500  0.500  1.02
Au  0.000  0.000  0.500  -0.02
Au  0.500  0.000  0.000  -0.01

N(E_F), states/eV/f.u.: 5.2
Calculated formation energy, eV per atom: 1.7402
Magnetic moment, μB/f.u.: 1.0


# 2
The following is a GGA-PBE calculation of a relaxed structure of Ni2IrRhAu, from the Alexandria database.

Unit cell a=4.492 b=4.685 c=4.492 alpha=90.00 beta=90.00 gamma=90.00
Each line ends with the local moment (μB).
Fractional positions:
Rh  0.000  0.000  0.000  0.58
Ir  0.000  0.500  0.000  0.07
Au  0.500  0.500  0.500  0.02
Ni  0.000  0.000  0.500  1.21
Ni  0.500  0.000  0.000  0.59

N(E_F), states/eV/f.u.: 6.8
Calculated formation energy, eV per atom: 1.3927
Magnetic moment, μB/f.u.: 2.5